No. 1
# BPd6

A geometry-optimized BPd6 structure (PBE-GGA, Alexandria via LeMat-Bulk).

Results
Formation enthalpy at 0 K   -4.18 kcal/mol of atoms
Total DFT energy (no corrections)   -5.5861 eV/atom
DOS(E_F)   1.162 states/eV/atom
Excess energy over the best structure of this formula in the dataset   0.002 eV/atom
Volume   14.4 Å³ per atom

Cell: 5.8276 8.0400 17.2515 Å, 90.00 90.00 90.00°
With the nearest neighbours (Å) after each atom.
Space group Fddd (No. 70, origin choice 2)
Inequivalent atoms, fractional coordinates:
B: 0.1250 0.1250 0.1250 x8  6 Pd 2.07-2.08
Pd: 0.1201 0.3752 0.7902 x32  1 B 2.08
Pd: 0.1250 0.3677 0.6250 x16  1 B 2.07

=====

No. 2
# BPd6

A geometry-optimized BPd6 structure (PBE-GGA, Alexandria via LeMat-Bulk).

Results
Formation enthalpy at 0 K   -4.23 kcal/mol of atoms
Total DFT energy (no corrections)   -5.5885 eV/atom
DOS(E_F)   1.054 states/eV/atom
Excess energy over the best structure of this formula in the dataset   0.000 eV/atom
Volume   14.4 Å³ per atom

Cell: 4.9840 8.5981 9.5690 Å, 90.00 99.95 90.00°
With the nearest neighbours (Å) after each atom.
Space group C2/c (No. 15)
Inequivalent atoms, fractional coordinates:
B: 0.0000 0.0824 0.2500 x4  6 Pd 2.07-2.08
Pd: 0.1169 0.4171 0.6224 x8  1 B 2.08
Pd: 0.1276 0.0872 0.6220 x8  1 B 2.07
Pd: 0.1285 0.2534 0.1223 x8  1 B 2.08

=====

No. 3
# BPd5

A geometry-optimized BPd5 structure (PBE-GGA, Alexandria via LeMat-Bulk).

Results
Formation enthalpy at 0 K   1.10 kcal/mol of atoms
Total DFT energy (no corrections)   -5.3926 eV/atom
DOS(E_F)   0.765 states/eV/atom
Excess energy over the best structure of this formula in the dataset   0.256 eV/atom
Volume   15.0 Å³ per atom

Cell: 2.8092 13.9578 4.5804 Å, 90.00 90.00 90.00°
With the nearest neighbours (Å) after each atom.
Space group Cmmm (No. 65)
Inequivalent atoms, fractional coordinates:
B: 0.0000 0.0000 0.0000 x2  4 Pd 2.11
Pd: 0.0000 0.1698 0.5000 x4  10 Pd 2.64-2.81
Pd: 0.0000 0.3868 0.0000 x4  2 B 2.11
Pd: 0.0000 0.5000 0.5000 x2  4 B 2.69, 10 Pd 2.75-2.81

=====

No. 4
# B2Pd5

A geometry-optimized B2Pd5 structure (PBE-GGA, Alexandria via LeMat-Bulk).

Results
Formation enthalpy at 0 K   -5.64 kcal/mol of atoms
Total DFT energy (no corrections)   -5.8615 eV/atom
DOS(E_F)   0.350 states/eV/atom
Volume   12.7 Å³ per atom

Cell: 12.9391 4.9952 5.5529 Å, 90.00 97.05 90.00°
With the nearest neighbours (Å) after each atom.
Space group C2/c (No. 15)
Inequivalent atoms, fractional coordinates:
B: 0.1140 0.2009 0.0791 x8  6 Pd 2.15-2.30
Pd: 0.0000 0.0712 0.7500 x4  4 B 2.30
Pd: 0.0957 0.4084 0.4184 x8  2 B 2.15-2.19
Pd: 0.2127 0.0676 0.8183 x8  2 B 2.15-2.19

=====

No. 5
# BPd6

A geometry-optimized BPd6 structure (PBE-GGA, Alexandria via LeMat-Bulk).

Results
Formation enthalpy at 0 K   14.09 kcal/mol of atoms
Total DFT energy (no corrections)   -4.7939 eV/atom
DOS(E_F)   1.888 states/eV/atom
Excess energy over the best structure of this formula in the dataset   0.795 eV/atom
Volume   19.6 Å³ per atom

Cell: 6.4965 6.4965 6.4965 Å, 90.00 90.00 90.00°
With the nearest neighbours (Å) after each atom.
Space group Im-3m (No. 229)
Inequivalent atoms, fractional coordinates:
B: 0.0000 0.0000 0.0000 x2  6 Pd 2.01
Pd: 0.0000 0.0000 0.3091 x12  1 B 2.01

=====

No. 6
# B2Pd13

A geometry-optimized B2Pd13 structure (PBE-GGA, Alexandria via LeMat-Bulk).

Results
Formation enthalpy at 0 K   -3.63 kcal/mol of atoms
Total DFT energy (no corrections)   -5.5481 eV/atom
DOS(E_F)   1.199 states/eV/atom
Volume   14.5 Å³ per atom

Cell: 4.9620 6.3723 7.6407 Å, 65.36 88.71 82.65°
With the nearest neighbours (Å) after each atom.
Space group P-1 (No. 2)
Inequivalent atoms, fractional coordinates:
B: 0.1991 0.3371 0.2853 x2  6 Pd 2.04-2.18
Pd: 0.0000 0.5000 0.0000 x1  2 B 2.18
Pd: 0.0691 0.0315 0.3072 x2  1 B 2.07
Pd: 0.1648 0.5711 0.6146 x2  1 B 2.06
Pd: 0.2317 0.1113 0.9255 x2  12 Pd 2.80-2.89
Pd: 0.3084 0.6636 0.2263 x2  1 B 2.08
Pd: 0.3937 0.1853 0.5500 x2  1 B 2.04
Pd: 0.4582 0.7342 0.8489 x2  1 B 2.06

=====

No. 7
# B3Pd7

A geometry-optimized B3Pd7 structure (PBE-GGA, Alexandria via LeMat-Bulk).

Results
Formation enthalpy at 0 K   -5.35 kcal/mol of atoms
Total DFT energy (no corrections)   -5.8702 eV/atom
DOS(E_F)   0.412 states/eV/atom
Volume   12.6 Å³ per atom

Cell: 7.6865 7.6865 4.9261 Å, 90.00 90.00 120.00°
With the nearest neighbours (Å) after each atom.
Space group P6_3mc (No. 186)
Inequivalent atoms, fractional coordinates:
B: 0.1887 0.3773 0.0000 x6  6 Pd 2.13-2.27
Pd: 0.0910 0.5455 0.2483 x6  2 B 2.17
Pd: 0.1237 0.2474 0.6053 x6  3 B 2.13-2.27
Pd: 0.3333 0.6667 0.7724 x2  3 B 2.23

=====

No. 8
# B4Pd

A geometry-optimized B4Pd structure (PBE-GGA, Alexandria via LeMat-Bulk).

Results
Formation enthalpy at 0 K   49.26 kcal/mol of atoms
Total DFT energy (no corrections)   -4.2443 eV/atom
DOS(E_F)   0.503 states/eV/atom
Volume   13.4 Å³ per atom

Cell: 4.0585 4.0585 4.0585 Å, 90.00 90.00 90.00°
With the nearest neighbours (Å) after each atom.
Space group Pm-3m (No. 221)
Inequivalent atoms, fractional coordinates:
B: 0.0000 0.0000 0.0000 x1  12 B 2.87
B: 0.0000 0.5000 0.5000 x3  2 Pd 2.03
Pd: 0.5000 0.5000 0.5000 x1  6 B 2.03

=====

No. 9
# BPd5

A geometry-optimized BPd5 structure (PBE-GGA, Alexandria via LeMat-Bulk).

Results
Formation enthalpy at 0 K   -4.81 kcal/mol of atoms
Total DFT energy (no corrections)   -5.6490 eV/atom
DOS(E_F)   0.630 states/eV/atom
Excess energy over the best structure of this formula in the dataset   0.000 eV/atom
Volume   14.2 Å³ per atom

Cell: 6.4249 8.2108 9.1118 Å, 90.00 134.73 90.00°
With the nearest neighbours (Å) after each atom.
Space group P2_1/c (No. 14)
Inequivalent atoms, fractional coordinates:
B: 0.2142 0.1327 0.1588 x4  6 Pd 2.05-2.14
Pd: 0.0008 0.6257 0.2461 x4  1 B 2.08
Pd: 0.2011 0.1166 0.6510 x4  1 B 2.06
Pd: 0.2033 0.6273 0.6518 x4  2 B 2.13-2.14
Pd: 0.3869 0.6250 0.0401 x4  1 B 2.05
Pd: 0.4070 0.1261 0.0486 x4  1 B 2.07

=====

No. 10
# BPd5

A geometry-optimized BPd5 structure (PBE-GGA, Alexandria via LeMat-Bulk).

Results
Formation enthalpy at 0 K   -1.63 kcal/mol of atoms
Total DFT energy (no corrections)   -5.5110 eV/atom
DOS(E_F)   0.853 states/eV/atom
Excess energy over the best structure of this formula in the dataset   0.138 eV/atom
Volume   14.4 Å³ per atom

Cell: 3.1129 3.1129 17.7990 Å, 90.00 90.00 90.00°
With the nearest neighbours (Å) after each atom.
Space group I4/mmm (No. 139)
Inequivalent atoms, fractional coordinates:
B: 0.0000 0.0000 0.0000 x2  6 Pd 1.99-2.20
Pd: 0.0000 0.0000 0.1115 x4  1 B 1.99
Pd: 0.0000 0.0000 0.2958 x4  8 Pd 2.74-2.75
Pd: 0.0000 0.0000 0.5000 x2  4 B 2.20

=====

No. 11
# Pm2BPd5

A geometry-optimized Pm2BPd5 structure (PBE-GGA, Alexandria via LeMat-Bulk).

Results
Formation enthalpy at 0 K   -15.21 kcal/mol of atoms
Total DFT energy (no corrections)   -5.9273 eV/atom
DOS(E_F)   0.222 states/eV/atom
Volume   19.2 Å³ per atom

Cell: 5.7991 5.7991 9.1257 Å, 90.00 90.00 90.00°
With the nearest neighbours (Å) after each atom.
Space group I4mm (No. 107)
Inequivalent atoms, fractional coordinates:
Pm: 0.0000 0.5000 0.0000 x4  10 Pd 2.92-3.08
B: 0.0000 0.0000 0.1994 x2  5 Pd 2.12-2.15
Pd: 0.0000 0.0000 0.9639 x2  1 B 2.15
Pd: 0.2471 0.2471 0.7486 x8  1 B 2.12

=====

No. 12
# Pm2BPd6

A geometry-optimized Pm2BPd6 structure (PBE-GGA, Alexandria via LeMat-Bulk).

Results
Formation enthalpy at 0 K   -17.46 kcal/mol of atoms
Total DFT energy (no corrections)   -6.0168 eV/atom
DOS(E_F)   0.945 states/eV/atom
Excess energy over the best structure of this formula in the dataset   0.000 eV/atom
Volume   17.2 Å³ per atom

Cell: 8.5211 8.5211 8.5211 Å, 90.00 90.00 90.00°
With the nearest neighbours (Å) after each atom.
Space group Fm-3m (No. 225)
Inequivalent atoms, fractional coordinates:
Pm: 0.2500 0.2500 0.2500 x8  12 Pd 3.01
B: 0.0000 0.0000 0.0000 x4  6 Pd 2.18
Pd: 0.0000 0.0000 0.2555 x24  1 B 2.18

=====

Question: Which of these has the highest DOS(E_F)?
Answer: number 5

=====

Repeat the eighth record exactly.
# B4Pd

A geometry-optimized B4Pd structure (PBE-GGA, Alexandria via LeMat-Bulk).

Results
Formation enthalpy at 0 K   49.26 kcal/mol of atoms
Total DFT energy (no corrections)   -4.2443 eV/atom
DOS(E_F)   0.503 states/eV/atom
Volume   13.4 Å³ per atom

Cell: 4.0585 4.0585 4.0585 Å, 90.00 90.00 90.00°
With the nearest neighbours (Å) after each atom.
Space group Pm-3m (No. 221)
Inequivalent atoms, fractional coordinates:
B: 0.0000 0.0000 0.0000 x1  12 B 2.87
B: 0.0000 0.5000 0.5000 x3  2 Pd 2.03
Pd: 0.5000 0.5000 0.5000 x1  6 B 2.03

=====

Question: What is the formula in the seventh record?
Answer: B3Pd7

=====

Question: Which of these has the lowest DOS(E_F)?
Answer: Pm2BPd5